A plane-wave DFT calculation with PBE was carried out for crystalline Ca3Sn4Au4 at its relaxed geometry.

a = 4.356 Å, b = 7.908 Å, c = 9.089 Å
α = 115.79°, β = 103.86°, γ = 90.00°
Atoms (fractional coordinates):
Au 0.224 0.724 0.448
Au 0.500 0.818 0.000
Au 0.500 0.182 0.000
Au 0.776 0.276 0.552
Ca 0.120 0.120 0.239
Ca 0.000 0.500 0.000
Ca 0.880 0.880 0.761
Sn 0.665 0.863 0.329
Sn 0.335 0.534 0.671
Sn 0.665 0.466 0.329
Sn 0.335 0.137 0.671

Values from the calculation:
Calculated formation energy = -572 meV/atom
DOS at the Fermi energy = 0.5069 states/eV/atom
VASP energy = -41.4 eV/cell
Crystal system = orthorhombic
Total magnetization = 0.00 Bohr magnetons per cell